A plane-wave DFT calculation with PBE was carried out for a relaxed structure of K2SnHg6Au.

Cell and atoms, written as CIF:
```
data_K2SnHg6Au
_chemical_formula_sum 'K4 Sn2 Hg12 Au2'
_symmetry_space_group_name_H-M 'P m m n'
_symmetry_Int_Tables_number 59
_cell_length_a 8.318
_cell_length_b 10.799
_cell_length_c 7.623
_cell_angle_alpha 90.00
_cell_angle_beta 90.00
_cell_angle_gamma 90.00
loop_
_symmetry_equiv_pos_as_xyz
'x,y,z'
'-x,-y,-z'
'-x+1/2,-y+1/2,z'
'x+1/2,y+1/2,-z'
'x+1/2,-y,-z'
'-x+1/2,y,z'
'-x,y+1/2,-z'
'x,-y+1/2,z'
loop_
_atom_site_label
_atom_site_fract_x
_atom_site_fract_y
_atom_site_fract_z
K1 0.250 0.015 0.226
Sn1 0.250 0.250 0.612
Hg1 0.005 0.250 0.887
Hg2 0.059 0.750 0.573
Hg3 0.250 0.508 0.739
Au1 0.250 0.750 0.887
```

Energy of formation ... -0.117 eV per atom
DOS at the Fermi energy ... 4.6 states/eV/f.u.
Size of the total moment ... 0.000 μB per atom